(1)
Compound: AcNdScPb
Source: Alexandria via LeMat-Bulk
Functional: PBE-GGA
Structure: optimized geometry

```
AcNdScPb
1.0
-1.709 5.158 1.195
-4.525 2.077 -2.483
-4.669 0.776 2.925
Pb Sc Ac Nd
1 1 1 1
Direct
0.250 0.250 0.250
0.000 0.000 0.000
0.750 0.750 0.750
0.500 0.500 0.500
```

Properties
Space-group type: F-43m, No. 216
DFT total energy, hartree per atom: -0.1757
ΔE_f, meV per atom: -53
Calculated volume, Å³ per atom: 30.4

***

(2)
Compound: AcNdSmPb
Source: Alexandria via LeMat-Bulk
Functional: PBE-GGA
Structure: optimized geometry

```
AcNdSmPb
1.0
-5.448 -0.214 -1.699
-2.052 -4.748 -2.421
-3.746 -3.257 2.825
Pb Ac Nd Sm
1 1 1 1
Direct
0.000 0.000 0.000
0.500 0.500 0.500
0.750 0.750 0.750
0.250 0.250 0.250
```

Properties
Space-group type: F-43m, No. 216
DFT total energy, hartree per atom: -0.1633
ΔE_f, meV per atom: -117
Calculated volume, Å³ per atom: 32.9

***

(3)
Compound: AcNdSnPb
Source: Alexandria via LeMat-Bulk
Functional: PBE-GGA
Structure: optimized geometry

```
AcNdSnPb
1.0
5.707 0.000 0.000
2.854 4.943 0.000
2.854 1.648 4.660
Pb Ac Nd Sn
1 1 1 1
Direct
0.750 0.750 0.750
0.500 0.500 0.500
0.000 0.000 0.000
0.250 0.250 0.250
```

Properties
Space-group type: F-43m, No. 216
DFT total energy, hartree per atom: -0.1704
ΔE_f, meV per atom: -489
Calculated volume, Å³ per atom: 32.9

***

(4)
Compound: AcNdSnPb
Source: Alexandria via LeMat-Bulk
Functional: PBE-GGA
Structure: optimized geometry

```
AcNdSnPb
1.0
4.853 0.000 0.000
0.000 4.568 0.000
-2.426 0.000 6.115
Ac Nd Sn Pb
1 1 1 1
Direct
0.863 0.500 0.727
0.134 0.000 0.267
0.412 0.000 0.824
0.591 0.500 0.182
```

Properties
Space-group type: Amm2, No. 38
DFT total energy, hartree per atom: -0.1751
ΔE_f, meV per atom: -617
Calculated volume, Å³ per atom: 33.9

***

(5)
Compound: AcNdThPb
Source: Alexandria via LeMat-Bulk
Functional: PBE-GGA
Structure: optimized geometry

```
AcNdThPb
1.0
-0.359 0.513 5.699
-1.703 -4.457 3.178
3.758 -2.723 3.366
Pb Ac Nd Th
1 1 1 1
Direct
0.000 0.000 0.000
0.500 0.500 0.500
0.250 0.250 0.250
0.750 0.750 0.750
```

Properties
Space-group type: F-43m, No. 216
DFT total energy, hartree per atom: -0.1843
ΔE_f, meV per atom: -15
Calculated volume, Å³ per atom: 33.3

***

(6)
Compound: Ac3Nd3Tl2Pb
Source: Alexandria via LeMat-Bulk
Functional: PBE-GGA
Structure: optimized geometry

```
Ac3Nd3Tl2Pb
1.0
4.447 0.000 0.000
0.000 9.148 0.000
0.000 -4.574 7.922
Ac Nd Tl Pb
3 3 2 1
Direct
0.500 0.721 0.000
0.500 0.000 0.721
0.500 0.279 0.279
0.000 0.603 0.603
0.000 0.000 0.397
0.000 0.397 0.000
0.500 0.667 0.333
0.500 0.333 0.667
0.000 0.000 0.000
```

Properties
Space-group type: P-62m, No. 189
DFT total energy, hartree per atom: -0.1520
ΔE_f, meV per atom: -240
Calculated volume, Å³ per atom: 35.8

***

(7)
Compound: AcNdTlPb
Source: Alexandria via LeMat-Bulk
Functional: PBE-GGA
Structure: optimized geometry

```
AcNdTlPb
1.0
-2.870 -4.848 -0.951
-1.545 -3.313 4.391
-5.504 -0.399 1.480
Pb Ac Nd Tl
1 1 1 1
Direct
0.500 0.500 0.500
0.250 0.250 0.250
0.750 0.750 0.750
0.000 0.000 0.000
```

Properties
Space-group type: F-43m, No. 216
DFT total energy, hartree per atom: -0.1522
ΔE_f, meV per atom: -404
Calculated volume, Å³ per atom: 33.0

***

(8)
Compound: AcNdTlPb
Source: Alexandria via LeMat-Bulk
Functional: PBE-GGA
Structure: optimized geometry

```
AcNdTlPb
1.0
4.869 0.000 0.000
0.000 4.599 0.000
-2.435 0.000 6.175
Ac Nd Tl Pb
1 1 1 1
Direct
0.863 0.500 0.725
0.135 0.000 0.270
0.414 0.000 0.828
0.589 0.500 0.177
```

Properties
Space-group type: Amm2, No. 38
DFT total energy, hartree per atom: -0.1537
ΔE_f, meV per atom: -446
Calculated volume, Å³ per atom: 34.6